(1)
SrLiFe (GGA-PBEsol, optimized geometry); E_form = 654 meV/atom; V = 67.29 Å³/f.u.; crystal system = tetragonal
1.0
-1.736 1.736 5.579
1.736 -1.736 5.579
1.736 1.736 -5.579
Sr Li Fe
1 1 1
Direct
0.000 0.000 0.000 Sr
0.282 0.282 0.000 Li
0.688 0.688 0.000 Fe

(2)
IrPt3 (GGA-PBEsol, optimized geometry); E_form = 68 meV/atom; V = 58.98 Å³/f.u.; crystal system = orthorhombic
1.0
2.750 -3.882 0.000
2.750 3.882 0.000
0.000 0.000 2.763
Ir Pt
1 3
Direct
0.000 0.000 0.000 Ir
0.000 0.500 0.500 Pt
0.500 0.000 0.500 Pt
0.500 0.500 0.000 Pt

(3)
LiSiMo (GGA-PBEsol, optimized geometry); V = 44.13 Å³/f.u.; crystal system = trigonal; ΔE_f (raw) = 116 meV/atom
1.0
2.762 0.000 0.000
-1.381 2.392 0.000
0.000 0.000 6.681
Li Si Mo
1 1 1
Direct
0.000 0.000 0.000 Li
0.667 0.333 0.326 Si
0.333 0.667 0.633 Mo

(4)
YIrS3 (GGA-PBEsol, optimized geometry); V = 129.03 Å³/f.u.; crystal system = cubic; ΔE_f (raw) = 822 meV/atom
1.0
5.053 0.000 0.000
0.000 5.053 0.000
0.000 0.000 5.053
Y Ir S
1 1 3
Direct
0.000 0.000 0.000 Y
0.500 0.500 0.500 Ir
0.000 0.000 0.500 S
0.000 0.500 0.000 S
0.500 0.000 0.000 S

(5)
CaRuW2 (GGA-PBEsol, optimized geometry); E_form = 621 meV/atom; V = 70.03 Å³/f.u.; crystal system = tetragonal
1.0
2.807 0.000 0.000
0.000 2.807 0.000
0.000 0.000 8.889
Ca Ru W
1 1 2
Direct
0.000 0.000 0.000 Ca
0.000 0.000 0.500 Ru
0.500 0.500 0.296 W
0.500 0.500 0.704 W

(6)
MnTlW (GGA-PBEsol, optimized geometry); E_form = 690 meV/atom; V = 50.54 Å³/f.u.; crystal system = orthorhombic
1.0
0.000 2.391 6.653
1.589 0.000 6.653
1.589 2.391 0.000
Mn Tl W
1 1 1
Direct
0.000 0.000 0.000 Mn
0.327 0.327 0.673 Tl
0.638 0.638 0.362 W